No. 1
Computed, not measured: a geometry-optimized Nb4VW structure at the PBE-GGA level of DFT.

Calculated values
Density of states at the Fermi level (states/eV/atom): 1.22
Space-group type: C2/c

a = 7.110 Å, b = 7.110 Å, c = 6.492 Å
α = 109.75°, β = 109.75°, γ = 43.60°
Element x y z (fractional)
Nb: 0.034 0.796 0.838
Nb: 0.168 0.495 0.404
Nb: 0.204 0.966 0.662
Nb: 0.495 0.168 0.904
Nb: 0.505 0.832 0.096
Nb: 0.796 0.034 0.338
Nb: 0.832 0.505 0.596
Nb: 0.966 0.204 0.162
V: 0.000 0.500 0.000
V: 0.500 0.000 0.500
W: 0.412 0.588 0.250
W: 0.588 0.412 0.750

No. 2
Computed, not measured: a geometry-optimized Nb2V4W structure at the PBE-GGA level of DFT.

Calculated values
E above lowest polymorph (meV per atom): 0
Density of states at the Fermi level (states/eV/atom): 1.48
Space-group type: Cmmm

a = 6.095 Å, b = 9.189 Å, c = 4.132 Å
α = 90.00°, β = 90.00°, γ = 90.00°
Element x y z (fractional)
Nb: 0.231 0.000 0.000
Nb: 0.269 0.500 0.000
Nb: 0.731 0.500 0.000
Nb: 0.769 0.000 0.000
V: 0.000 0.260 0.000
V: 0.000 0.740 0.000
V: 0.250 0.250 0.500
V: 0.250 0.750 0.500
V: 0.500 0.240 0.000
V: 0.500 0.760 0.000
V: 0.750 0.250 0.500
V: 0.750 0.750 0.500
W: 0.000 0.500 0.500
W: 0.500 0.000 0.500

No. 3
Computed, not measured: a geometry-optimized Nb5VW4 structure at the PBE-GGA level of DFT.

Calculated values
Density of states at the Fermi level (states/eV/atom): 1.08
Space-group type: P4/mmm

a = 3.235 Å, b = 3.235 Å, c = 16.144 Å
α = 90.00°, β = 90.00°, γ = 90.00°
Element x y z (fractional)
Nb: 0.000 0.000 0.000
Nb: 0.000 0.000 0.202
Nb: 0.000 0.000 0.402
Nb: 0.000 0.000 0.598
Nb: 0.000 0.000 0.798
V: 0.500 0.500 0.500
W: 0.500 0.500 0.101
W: 0.500 0.500 0.303
W: 0.500 0.500 0.697
W: 0.500 0.500 0.899

No. 4
Computed, not measured: a geometry-optimized Nb2VW structure at the PBE-GGA level of DFT.

Calculated values
E above lowest polymorph (meV per atom): 9
Density of states at the Fermi level (states/eV/atom): 1.36
Space-group type: P4/mmm

a = 3.217 Å, b = 3.217 Å, c = 6.404 Å
α = 90.00°, β = 90.00°, γ = 90.00°
Element x y z (fractional)
Nb: 0.000 0.000 0.247
Nb: 0.000 0.000 0.753
V: 0.500 0.500 0.000
W: 0.500 0.500 0.500

No. 5
Computed, not measured: a geometry-optimized NbV6W2 structure at the PBE-GGA level of DFT.

Calculated values
E above lowest polymorph (meV per atom): 269
Density of states at the Fermi level (states/eV/atom): 1.12
Space-group type: C2/m

a = 5.033 Å, b = 5.033 Å, c = 6.536 Å
α = 107.42°, β = 107.42°, γ = 60.90°
Element x y z (fractional)
Nb: 0.000 0.000 0.000
V: 0.206 0.684 0.302
V: 0.247 0.247 0.470
V: 0.316 0.794 0.698
V: 0.684 0.206 0.302
V: 0.753 0.753 0.530
V: 0.794 0.316 0.698
W: 0.322 0.322 0.898
W: 0.678 0.678 0.102

No. 6
Computed, not measured: a geometry-optimized NbV2W8 structure at the PBE-GGA level of DFT.

Calculated values
Density of states at the Fermi level (states/eV/atom): 0.83
Space-group type: P-1

a = 5.520 Å, b = 5.521 Å, c = 6.894 Å
α = 102.56°, β = 102.72°, γ = 100.67°
Element x y z (fractional)
Nb: 0.000 0.000 0.000
V: 0.314 0.315 0.436
V: 0.686 0.685 0.564
W: 0.140 0.140 0.689
W: 0.155 0.655 0.705
W: 0.345 0.846 0.295
W: 0.398 0.400 0.120
W: 0.602 0.600 0.880
W: 0.655 0.154 0.705
W: 0.845 0.345 0.295
W: 0.860 0.860 0.311

No. 7
Computed, not measured: a geometry-optimized Nb6V5W structure at the PBE-GGA level of DFT.

Calculated values
Density of states at the Fermi level (states/eV/atom): 1.89
Space-group type: Cmmm

a = 7.115 Å, b = 7.115 Å, c = 6.366 Å
α = 90.00°, β = 90.00°, γ = 142.90°
Element x y z (fractional)
Nb: 0.000 0.000 0.248
Nb: 0.000 0.000 0.752
Nb: 0.332 0.668 0.249
Nb: 0.332 0.668 0.751
Nb: 0.668 0.332 0.249
Nb: 0.668 0.332 0.751
V: 0.167 0.833 0.000
V: 0.169 0.831 0.500
V: 0.500 0.500 0.000
V: 0.831 0.169 0.500
V: 0.833 0.167 0.000
W: 0.500 0.500 0.500

No. 8
Computed, not measured: a geometry-optimized Nb5V2W4 structure at the PBE-GGA level of DFT.

Calculated values
Density of states at the Fermi level (states/eV/atom): 0.85
Space-group type: Immm

a = 9.676 Å, b = 9.676 Å, c = 9.676 Å
α = 163.83°, β = 129.12°, γ = 53.74°
Element x y z (fractional)
Nb: 0.000 0.000 0.000
Nb: 0.044 0.344 0.700
Nb: 0.356 0.656 0.700
Nb: 0.644 0.344 0.300
Nb: 0.956 0.656 0.300
V: 0.412 0.912 0.500
V: 0.588 0.088 0.500
W: 0.276 0.776 0.500
W: 0.295 0.500 0.795
W: 0.705 0.500 0.205
W: 0.724 0.224 0.500

No. 9
Computed, not measured: a geometry-optimized Nb3V2W6 structure at the PBE-GGA level of DFT.

Calculated values
Density of states at the Fermi level (states/eV/atom): 0.65
Space-group type: P-1

a = 3.175 Å, b = 4.542 Å, c = 12.661 Å
α = 90.03°, β = 92.83°, γ = 90.03°
Element x y z (fractional)
Nb: 0.000 0.000 0.000
Nb: 0.230 0.000 0.407
Nb: 0.770 0.000 0.593
V: 0.307 0.499 0.924
V: 0.693 0.501 0.076
W: 0.190 0.500 0.232
W: 0.269 0.500 0.592
W: 0.318 0.000 0.781
W: 0.682 0.000 0.219
W: 0.731 0.500 0.408
W: 0.810 0.500 0.768

No. 10
Computed, not measured: a geometry-optimized Nb4VW5 structure at the PBE-GGA level of DFT.

Calculated values
Density of states at the Fermi level (states/eV/atom): 0.97
Space-group type: P4/mmm

a = 3.219 Å, b = 3.219 Å, c = 16.048 Å
α = 90.00°, β = 90.00°, γ = 90.00°
Element x y z (fractional)
Nb: 0.000 0.000 0.102
Nb: 0.000 0.000 0.305
Nb: 0.000 0.000 0.695
Nb: 0.000 0.000 0.898
V: 0.000 0.000 0.500
W: 0.500 0.500 0.000
W: 0.500 0.500 0.204
W: 0.500 0.500 0.407
W: 0.500 0.500 0.593
W: 0.500 0.500 0.796

No. 11
Computed, not measured: a geometry-optimized NbVW14 structure at the PBE-GGA level of DFT.

Calculated values
Density of states at the Fermi level (states/eV/atom): 0.29
Space-group type: Cmmm

a = 5.511 Å, b = 5.511 Å, c = 9.010 Å
α = 90.00°, β = 90.00°, γ = 109.32°
Element x y z (fractional)
Nb: 0.000 0.000 0.000
V: 0.500 0.500 0.000
W: 0.000 0.000 0.500
W: 0.000 0.500 0.000
W: 0.000 0.500 0.500
W: 0.251 0.749 0.249
W: 0.251 0.749 0.751
W: 0.252 0.252 0.250
W: 0.252 0.252 0.750
W: 0.500 0.000 0.000
W: 0.500 0.000 0.500
W: 0.500 0.500 0.500
W: 0.748 0.748 0.250
W: 0.748 0.748 0.750
W: 0.749 0.251 0.249
W: 0.749 0.251 0.751

No. 12
Computed, not measured: a geometry-optimized NbVW4 structure at the PBE-GGA level of DFT.

Calculated values
E above lowest polymorph (meV per atom): 752
Density of states at the Fermi level (states/eV/atom): 0.93
Space-group type: Cmc2_1

a = 9.204 Å, b = 9.204 Å, c = 5.305 Å
α = 90.00°, β = 90.00°, γ = 151.07°
Element x y z (fractional)
Nb: 0.132 0.868 0.500
Nb: 0.868 0.132 0.000
V: 0.422 0.578 0.320
V: 0.578 0.422 0.820
W: 0.136 0.864 0.999
W: 0.289 0.711 0.168
W: 0.292 0.708 0.672
W: 0.433 0.567 0.804
W: 0.567 0.433 0.304
W: 0.708 0.292 0.172
W: 0.711 0.289 0.668
W: 0.864 0.136 0.499

| no. | size of the total moment (μB/f.u.) | calculated formation energy (eV/atom) |
| --- | --- | --- |
| 1 | 0.000 | 0.25 |
| 2 | 0.000 | 0.38 |
| 3 | 0.000 | -0.02 |
| 4 | 0.000 | 0.00 |
| 5 | 0.000 | 0.26 |
| 6 | 0.000 | 0.78 |
| 7 | 0.002 | 0.03 |
| 8 | 0.000 | 0.48 |
| 9 | 0.000 | 0.17 |
| 10 | 0.000 | -0.03 |
| 11 | 0.000 | -0.05 |
| 12 | 0.000 | 0.68 |